(1)
Computed, not measured: Cs2GeSI6 after structural relaxation at the PBE-GGA level of DFT.

Cell lengths 8.1911, 8.1911, 12.0956 Å; angles 90.00, 90.00, 90.00 degrees
With the nearest neighbours (Å) after each atom.
Space group I4/mmm (No. 139)
Inequivalent atoms, fractional coordinates:
1 Cs 0.0000 0.5000 0.2500 x4  12 I 4.10-4.19
2 Ge 0.0000 0.0000 0.0000 x2  6 I 2.91-2.92
3 S 0.0000 0.0000 0.5000 x2  6 I 2.87-3.14
4 I 0.0000 0.0000 0.2408 x4  1 Ge 2.91, 1 S 3.14
5 I 0.2476 0.2476 0.5000 x8  1 S 2.87, 1 Ge 2.92

Output
- E_form (uncorrected): -583 kJ/mol of formula units
- Magnetization: 0.0 μB per formula unit
- Calculated total energy: -2.5791 eV/atom

---

(2)
Computed, not measured: KGa3Cu after structural relaxation at the PBE-GGA level of DFT.

Cell lengths 4.9019, 4.9019, 4.9019 Å; angles 90.00, 90.00, 90.00 degrees
With the nearest neighbours (Å) after each atom.
Space group Pm-3m (No. 221)
Inequivalent atoms, fractional coordinates:
1 K 0.0000 0.0000 0.0000 x1  12 Ga 3.47
2 Ga 0.0000 0.5000 0.5000 x3  2 Cu 2.45
3 Cu 0.5000 0.5000 0.5000 x1  6 Ga 2.45

Output
- Magnetization: 0.0 μB per formula unit
- Energy relative to the lowest polymorph listed for this composition: 0.047 eV/atom
- Calculated total energy: -2.7601 eV/atom

---

(3)
Computed, not measured: Mg2Cr2Cd after structural relaxation at the PBE-GGA level of DFT.

Cell lengths 7.8849, 7.8849, 2.9645 Å; angles 90.00, 90.00, 90.00 degrees
With the nearest neighbours (Å) after each atom.
Space group P4/mbm (No. 127)
Inequivalent atoms, fractional coordinates:
1 Mg 0.1977 0.3023 0.0000 x4  6 Cr 2.82-2.84, 2 Cd 2.85, 2 Mg 2.96
2 Cr 0.0847 0.5847 0.5000 x4  1 Cr 1.89
3 Cd 0.0000 0.0000 0.0000 x2  4 Mg 2.85, 2 Cd 2.96

Output
- Magnetization: 1.1 μB per formula unit
- Energy relative to the lowest polymorph listed for this composition: 0.132 eV/atom
- Calculated total energy: -4.1036 eV/atom

---

(4)
Computed, not measured: Pm3AlGa2Au6 after structural relaxation at the PBE-GGA level of DFT.

Cell lengths 6.1065, 6.1065, 8.4131 Å; angles 90.00, 90.00, 120.00 degrees
With the nearest neighbours (Å) after each atom.
Space group P-3m1 (No. 164)
Inequivalent atoms, fractional coordinates:
1 Pm 0.0000 0.0000 0.0000 x1  6 Au 3.02
2 Pm 0.3333 0.6667 0.6260 x2  9 Au 3.15-3.33, 1 Ga 3.26
3 Al 0.0000 0.0000 0.5000 x1  6 Au 2.61
4 Ga 0.3333 0.6667 0.0139 x2  3 Au 2.81
5 Au 0.1761 0.3521 0.2827 x6  1 Al 2.61, 1 Ga 2.81, 2 Au 2.88

Output
- Magnetization: 0.0 μB per formula unit
- Calculated total energy: -4.1926 eV/atom